An optimized crystal structure of ZnCoF5. Source: Alexandria via LeMat-Bulk, functional PBE with a Hubbard U.

DFT total energy: -4.236 eV per atom
Energy relative to the lowest polymorph listed for this composition: 78 meV per atom

a = 3.6421 Å, b = 5.5012 Å, c = 5.5012 Å
α = 74.21°, β = 70.67°, γ = 70.67°
With the nearest neighbours (Å) after each atom.
Sites, in units of the cell vectors:
Co 0.0000 0.0000 0.0000  2 F 1.78
Zn 0.5000 0.5000 0.5000  2 F 1.82
F 0.5000 0.1823 0.8177  1 Zn 2.11, 2 Co 2.19
F 0.0000 0.5000 0.5000  2 Zn 1.82
F 0.7773 0.2227 0.2227  1 Co 1.78
F 0.5000 0.8177 0.1823  1 Zn 2.11, 2 Co 2.19
F 0.2227 0.7773 0.7773  1 Co 1.78